FePtN2F: optimized geometry, PBE+U.

Values from the calculation:
- Crystal system: tetragonal
- Space-group type: P4/mmm, No. 123
- Polymorph energy (0 for the lowest one): 0 meV per atom

a b c (Å): 3.737 3.737 5.578
angles (deg): 90.00 90.00 90.00
Sites, in units of the cell vectors:
1 Fe 0.000 0.000 0.000
2 Pt 0.500 0.500 0.500
3 N 0.000 0.500 0.500
4 N 0.500 0.000 0.500
5 F 0.500 0.500 0.000